Entry 1:
DFT (PBE) results for a relaxed structure of NdSmPd2.

The total energy comes out at -5.795 eV/atom. For the energy relative to the lowest polymorph listed for this composition, the calculation gives 0 meV/atom.

a = 4.617 Å, b = 5.750 Å, c = 5.750 Å
α = 39.44°, β = 90.00°, γ = 90.00°
Fractional coordinates of all 4 atoms:
Nd  0.000  0.000  0.000
Sm  0.500  0.274  0.274
Pd  0.000  0.724  0.724
Pd  0.500  0.552  0.552



Entry 2:
DFT (PBE) results for a relaxed structure of NdSmPd2.

The total energy comes out at -5.613 eV/atom. For the energy relative to the lowest polymorph listed for this composition, the calculation gives 182 meV/atom.

a = 7.515 Å, b = 7.515 Å, c = 7.515 Å
α = 31.82°, β = 31.82°, γ = 31.82°
Fractional coordinates of all 4 atoms:
Nd  0.000  0.000  0.000
Sm  0.173  0.173  0.173
Pd  0.586  0.586  0.586
Pd  0.753  0.753  0.753



Entry 3:
DFT (PBE) results for a relaxed structure of NdSmPd6.

The total energy comes out at -5.863 eV/atom.

a = 4.189 Å, b = 4.189 Å, c = 8.378 Å
α = 90.00°, β = 90.00°, γ = 90.00°
Fractional coordinates of all 8 atoms:
Nd  0.000  0.000  0.000
Sm  0.000  0.000  0.500
Pd  0.000  0.500  0.252
Pd  0.000  0.500  0.748
Pd  0.500  0.000  0.252
Pd  0.500  0.000  0.748
Pd  0.500  0.500  0.000
Pd  0.500  0.500  0.500



Entry 4:
DFT (PBE) results for a relaxed structure of Nd2SmPd9.

The total energy comes out at -5.857 eV/atom.

a = 4.195 Å, b = 4.195 Å, c = 12.578 Å
α = 90.00°, β = 90.00°, γ = 90.00°
Fractional coordinates of all 12 atoms:
Nd  0.000  0.000  0.168
Nd  0.000  0.000  0.832
Sm  0.000  0.000  0.500
Pd  0.000  0.500  0.000
Pd  0.000  0.500  0.335
Pd  0.000  0.500  0.665
Pd  0.500  0.000  0.000
Pd  0.500  0.000  0.335
Pd  0.500  0.000  0.665
Pd  0.500  0.500  0.167
Pd  0.500  0.500  0.500
Pd  0.500  0.500  0.833



Entry 5:
DFT (PBE) results for a relaxed structure of Nd4Sm3Pd4.

The total energy comes out at -5.389 eV/atom.

a = 9.183 Å, b = 9.183 Å, c = 9.183 Å
α = 149.32°, β = 130.32°, γ = 59.53°
Fractional coordinates of all 11 atoms:
Nd  0.050  0.831  0.220
Nd  0.389  0.169  0.220
Nd  0.611  0.831  0.780
Nd  0.950  0.169  0.780
Sm  0.000  0.500  0.500
Sm  0.401  0.401  0.000
Sm  0.599  0.599  0.000
Pd  0.201  0.701  0.500
Pd  0.319  0.000  0.319
Pd  0.681  0.000  0.681
Pd  0.799  0.299  0.500



Entry 6:
DFT (PBE) results for a relaxed structure of NdSmPd.

The total energy comes out at -5.354 eV/atom. For the energy relative to the lowest polymorph listed for this composition, the calculation gives 17 meV/atom.

a = 3.668 Å, b = 6.668 Å, c = 7.334 Å
α = 74.01°, β = 89.93°, γ = 74.05°
Fractional coordinates of all 6 atoms:
Nd  0.139  0.222  0.069
Nd  0.861  0.778  0.931
Sm  0.141  0.219  0.571
Sm  0.859  0.781  0.429
Pd  0.500  0.500  0.263
Pd  0.500  0.500  0.737



Entry 7:
DFT (PBE) results for a relaxed structure of NdSm2Pd.

The total energy comes out at -5.122 eV/atom. For the energy relative to the lowest polymorph listed for this composition, the calculation gives 150 meV/atom.

a = 10.091 Å, b = 10.091 Å, c = 10.091 Å
α = 21.70°, β = 21.70°, γ = 21.70°
Fractional coordinates of all 4 atoms:
Nd  0.000  0.000  0.000
Sm  0.231  0.231  0.231
Sm  0.769  0.769  0.769
Pd  0.500  0.500  0.500



Entry 8:
DFT (PBE) results for a relaxed structure of NdSm3Pd12.

The total energy comes out at -5.875 eV/atom.

a = 4.171 Å, b = 4.171 Å, c = 16.799 Å
α = 90.00°, β = 90.00°, γ = 90.00°
Fractional coordinates of all 16 atoms:
Nd  0.000  0.000  0.000
Sm  0.000  0.000  0.251
Sm  0.000  0.000  0.500
Sm  0.000  0.000  0.749
Pd  0.000  0.500  0.126
Pd  0.000  0.500  0.375
Pd  0.000  0.500  0.625
Pd  0.000  0.500  0.874
Pd  0.500  0.000  0.126
Pd  0.500  0.000  0.375
Pd  0.500  0.000  0.625
Pd  0.500  0.000  0.874
Pd  0.500  0.500  0.000
Pd  0.500  0.500  0.251
Pd  0.500  0.500  0.500
Pd  0.500  0.500  0.749



no.,formation energy (eV/atom)
1,-0.83
2,-0.64
3,-0.78
4,-0.77
5,-0.48
6,-0.46
7,-0.27
8,-0.80